*a*
Entry from Alexandria via LeMat-Bulk: HgPdI after structural relaxation (GGA-PBE).

```
data_HgPdI
_space_group_name_H-M_alt 'P 1'
_space_group_IT_number 1
_space_group_name_Hall 'P 1'
_cell_length_a 9.3703
_cell_length_b 7.2163
_cell_length_c 5.6507
_cell_angle_alpha 90.00
_cell_angle_beta 102.15
_cell_angle_gamma 90.00
loop_
_atom_site_label
_atom_site_fract_x
_atom_site_fract_y
_atom_site_fract_z
Hg1 0.0429 0.1374 0.3017
Hg2 0.0429 0.3626 0.8017
Hg3 0.9571 0.6374 0.1983
Hg4 0.9571 0.8626 0.6983
Pd1 0.1897 0.6758 0.9628
Pd2 0.1897 0.8242 0.4628
Pd3 0.8103 0.1758 0.5372
Pd4 0.8103 0.3242 0.0372
I1 0.3379 0.5154 0.6597
I2 0.3379 0.9846 0.1597
I3 0.6621 0.0154 0.8403
I4 0.6621 0.4846 0.3403
```

Summary:
- DOS at the Fermi energy: 3.63 states/eV/cell
- Crystal system: monoclinic
- Space-group type: P2_1/c, No. 14
- M_tot: 0.000 Bohr magnetons per cell


*b*
Entry from Alexandria via LeMat-Bulk: HgPdI after structural relaxation (GGA-PBE).

```
data_HgPdI
_space_group_name_H-M_alt 'P 1'
_space_group_IT_number 1
_space_group_name_Hall 'P 1'
_cell_length_a 3.5442
_cell_length_b 4.3113
_cell_length_c 5.4293
_cell_angle_alpha 90.00
_cell_angle_beta 90.10
_cell_angle_gamma 90.00
loop_
_atom_site_label
_atom_site_fract_x
_atom_site_fract_y
_atom_site_fract_z
Hg1 0.0000 0.0000 0.0000
Pd1 0.5000 0.5000 0.0000
I1 0.5000 0.5000 0.5000
```

Summary:
- DOS at the Fermi energy: 1.84 states/eV/cell
- Crystal system: monoclinic
- Space-group type: P2/m, No. 10
- M_tot: 0.000 Bohr magnetons per cell


Stability order, top to bottom: *a*, *b*


*a*
Entry from Alexandria via LeMat-Bulk: HgPd2I8 after structural relaxation (GGA-PBE).

```
data_HgPd2I8
_space_group_name_H-M_alt 'P 1'
_space_group_IT_number 1
_space_group_name_Hall 'P 1'
_cell_length_a 7.1175
_cell_length_b 7.1175
_cell_length_c 11.6011
_cell_angle_alpha 106.18
_cell_angle_beta 106.18
_cell_angle_gamma 81.97
loop_
_atom_site_label
_atom_site_fract_x
_atom_site_fract_y
_atom_site_fract_z
Hg1 0.0000 0.0000 0.0000
Pd1 0.0875 0.0875 0.3749
Pd2 0.9125 0.9125 0.6251
I1 0.1610 0.1610 0.6204
I2 0.1773 0.7636 0.8030
I3 0.2364 0.8227 0.1970
I4 0.3442 0.3442 0.4042
I5 0.6558 0.6558 0.5958
I6 0.7636 0.1773 0.8030
I7 0.8227 0.2364 0.1970
I8 0.8390 0.8390 0.3796
```

Summary:
- DOS at the Fermi energy: 10.26 states/eV/cell
- Crystal system: monoclinic
- Space-group type: C2/m, No. 12
- M_tot: 0.000 Bohr magnetons per cell


*b*
Entry from Alexandria via LeMat-Bulk: HgPd2I8 after structural relaxation (GGA-PBE).

```
data_HgPd2I8
_space_group_name_H-M_alt 'P 1'
_space_group_IT_number 1
_space_group_name_Hall 'P 1'
_cell_length_a 7.9496
_cell_length_b 7.9496
_cell_length_c 7.7942
_cell_angle_alpha 103.46
_cell_angle_beta 103.46
_cell_angle_gamma 75.73
loop_
_atom_site_label
_atom_site_fract_x
_atom_site_fract_y
_atom_site_fract_z
Hg1 0.0000 0.0000 0.0000
Pd1 0.1913 0.1913 0.6440
Pd2 0.8087 0.8087 0.3560
I1 0.0914 0.7125 0.2118
I2 0.2433 0.2433 0.3439
I3 0.2875 0.9086 0.7882
I4 0.4121 0.4121 0.8173
I5 0.5879 0.5879 0.1827
I6 0.7125 0.0914 0.2118
I7 0.7567 0.7567 0.6561
I8 0.9086 0.2875 0.7882
```

Summary:
- DOS at the Fermi energy: 7.69 states/eV/cell
- Crystal system: monoclinic
- Space-group type: C2/m, No. 12
- M_tot: 0.000 Bohr magnetons per cell


Stability order, top to bottom: *a*, *b*


*a*
Entry from Alexandria via LeMat-Bulk: Hg2PdI2 after structural relaxation (GGA-PBE).

```
data_Hg2PdI2
_space_group_name_H-M_alt 'P 1'
_space_group_IT_number 1
_space_group_name_Hall 'P 1'
_cell_length_a 7.2872
_cell_length_b 7.2872
_cell_length_c 6.9558
_cell_angle_alpha 90.00
_cell_angle_beta 90.00
_cell_angle_gamma 90.00
loop_
_atom_site_label
_atom_site_fract_x
_atom_site_fract_y
_atom_site_fract_z
Hg1 0.1515 0.3485 0.0000
Hg2 0.3485 0.8485 0.0000
Hg3 0.6515 0.1515 0.0000
Hg4 0.8485 0.6515 0.0000
Pd1 0.0000 0.0000 0.5000
Pd2 0.5000 0.5000 0.5000
I1 0.1773 0.3227 0.5000
I2 0.3227 0.8227 0.5000
I3 0.6773 0.1773 0.5000
I4 0.8227 0.6773 0.5000
```

Summary:
- DOS at the Fermi energy: 4.17 states/eV/cell
- Crystal system: tetragonal
- Space-group type: P4/mbm, No. 127
- M_tot: 0.000 Bohr magnetons per cell


*b*
Entry from Alexandria via LeMat-Bulk: Hg2PdI2 after structural relaxation (GGA-PBE).

```
data_Hg2PdI2
_space_group_name_H-M_alt 'P 1'
_space_group_IT_number 1
_space_group_name_Hall 'P 1'
_cell_length_a 3.9553
_cell_length_b 3.9553
_cell_length_c 19.6041
_cell_angle_alpha 90.00
_cell_angle_beta 90.00
_cell_angle_gamma 90.00
loop_
_atom_site_label
_atom_site_fract_x
_atom_site_fract_y
_atom_site_fract_z
Hg1 0.0000 0.5000 0.2500
Hg2 0.0000 0.5000 0.7500
Hg3 0.5000 0.0000 0.2500
Hg4 0.5000 0.0000 0.7500
Pd1 0.0000 0.0000 0.0000
Pd2 0.5000 0.5000 0.5000
I1 0.0000 0.0000 0.4137
I2 0.0000 0.0000 0.5863
I3 0.5000 0.5000 0.0863
I4 0.5000 0.5000 0.9137
```

Summary:
- DOS at the Fermi energy: 10.98 states/eV/cell
- Crystal system: tetragonal
- Space-group type: I4/mmm, No. 139
- M_tot: 1.757 Bohr magnetons per cell


Stability order, top to bottom: *a*, *b*


*a*
Entry from Alexandria via LeMat-Bulk: HgPd2I2 after structural relaxation (GGA-PBE).

```
data_HgPd2I2
_space_group_name_H-M_alt 'P 1'
_space_group_IT_number 1
_space_group_name_Hall 'P 1'
_cell_length_a 4.2375
_cell_length_b 4.2375
_cell_length_c 15.9347
_cell_angle_alpha 90.00
_cell_angle_beta 90.00
_cell_angle_gamma 90.00
loop_
_atom_site_label
_atom_site_fract_x
_atom_site_fract_y
_atom_site_fract_z
Hg1 0.0000 0.0000 0.0000
Hg2 0.5000 0.5000 0.5000
Pd1 0.0000 0.5000 0.2500
Pd2 0.0000 0.5000 0.7500
Pd3 0.5000 0.0000 0.2500
Pd4 0.5000 0.0000 0.7500
I1 0.0000 0.0000 0.3598
I2 0.0000 0.0000 0.6402
I3 0.5000 0.5000 0.1402
I4 0.5000 0.5000 0.8598
```

Summary:
- DOS at the Fermi energy: 12.02 states/eV/cell
- Crystal system: tetragonal
- Space-group type: I4/mmm, No. 139
- M_tot: 0.000 Bohr magnetons per cell


*b*
Entry from Alexandria via LeMat-Bulk: HgPd2I2 after structural relaxation (GGA-PBE).

```
data_HgPd2I2
_space_group_name_H-M_alt 'P 1'
_space_group_IT_number 1
_space_group_name_Hall 'P 1'
_cell_length_a 8.4710
_cell_length_b 4.6116
_cell_length_c 8.5366
_cell_angle_alpha 90.00
_cell_angle_beta 108.32
_cell_angle_gamma 90.00
loop_
_atom_site_label
_atom_site_fract_x
_atom_site_fract_y
_atom_site_fract_z
Hg1 0.0000 0.0000 0.0000
Hg2 0.5000 0.5000 0.0000
Pd1 0.1069 0.0000 0.3265
Pd2 0.3931 0.5000 0.6735
Pd3 0.6069 0.5000 0.3265
Pd4 0.8931 0.0000 0.6735
I1 0.2164 0.0000 0.6818
I2 0.2836 0.5000 0.3182
I3 0.7164 0.5000 0.6818
I4 0.7836 0.0000 0.3182
```

Summary:
- DOS at the Fermi energy: 4.81 states/eV/cell
- Crystal system: monoclinic
- Space-group type: C2/m, No. 12
- M_tot: 0.000 Bohr magnetons per cell


Stability order, top to bottom: *b*, *a*


*a*
Entry from Alexandria via LeMat-Bulk: HgSb2PdI after structural relaxation (GGA-PBE).

```
data_HgSb2PdI
_space_group_name_H-M_alt 'P 1'
_space_group_IT_number 1
_space_group_name_Hall 'P 1'
_cell_length_a 5.2660
_cell_length_b 5.2660
_cell_length_c 5.6853
_cell_angle_alpha 90.00
_cell_angle_beta 90.00
_cell_angle_gamma 90.00
loop_
_atom_site_label
_atom_site_fract_x
_atom_site_fract_y
_atom_site_fract_z
Hg1 0.0000 0.0000 0.0000
Sb1 0.0000 0.5000 0.5000
Sb2 0.5000 0.0000 0.5000
Pd1 0.5000 0.5000 0.5000
I1 0.5000 0.5000 0.0000
```

Summary:
- DOS at the Fermi energy: 5.40 states/eV/cell
- Crystal system: tetragonal
- Space-group type: P4/mmm, No. 123
- M_tot: 0.582 Bohr magnetons per cell


*b*
Entry from Alexandria via LeMat-Bulk: HgSb2PdI after structural relaxation (GGA-PBE).

```
data_HgSb2PdI
_space_group_name_H-M_alt 'P 1'
_space_group_IT_number 1
_space_group_name_Hall 'P 1'
_cell_length_a 5.5023
_cell_length_b 5.5023
_cell_length_c 5.9693
_cell_angle_alpha 90.00
_cell_angle_beta 90.00
_cell_angle_gamma 90.00
loop_
_atom_site_label
_atom_site_fract_x
_atom_site_fract_y
_atom_site_fract_z
Hg1 0.0000 0.0000 0.0000
Sb1 0.0000 0.5000 0.0000
Sb2 0.5000 0.0000 0.0000
Pd1 0.5000 0.5000 0.5000
I1 0.0000 0.0000 0.5000
```

Summary:
- DOS at the Fermi energy: 4.83 states/eV/cell
- Crystal system: tetragonal
- Space-group type: P4/mmm, No. 123
- M_tot: 0.000 Bohr magnetons per cell


Stability order, top to bottom: *a*, *b*


*a*
Entry from Alexandria via LeMat-Bulk: HgSbPdI2 after structural relaxation (GGA-PBE).

```
data_HgSbPdI2
_space_group_name_H-M_alt 'P 1'
_space_group_IT_number 1
_space_group_name_Hall 'P 1'
_cell_length_a 6.0149
_cell_length_b 6.0149
_cell_length_c 5.6685
_cell_angle_alpha 90.00
_cell_angle_beta 90.00
_cell_angle_gamma 90.00
loop_
_atom_site_label
_atom_site_fract_x
_atom_site_fract_y
_atom_site_fract_z
Hg1 0.0000 0.0000 0.0000
Sb1 0.0000 0.0000 0.5000
Pd1 0.5000 0.5000 0.0000
I1 0.0000 0.5000 0.5000
I2 0.5000 0.0000 0.5000
```

Summary:
- DOS at the Fermi energy: 1.44 states/eV/cell
- Crystal system: tetragonal
- Space-group type: P4/mmm, No. 123
- M_tot: 0.000 Bohr magnetons per cell


*b*
Entry from Alexandria via LeMat-Bulk: HgSbPdI2 after structural relaxation (GGA-PBE).

```
data_HgSbPdI2
_space_group_name_H-M_alt 'P 1'
_space_group_IT_number 1
_space_group_name_Hall 'P 1'
_cell_length_a 5.7208
_cell_length_b 5.7208
_cell_length_c 5.1236
_cell_angle_alpha 90.00
_cell_angle_beta 90.00
_cell_angle_gamma 90.00
loop_
_atom_site_label
_atom_site_fract_x
_atom_site_fract_y
_atom_site_fract_z
Hg1 0.0000 0.0000 0.0000
Sb1 0.5000 0.5000 0.0000
Pd1 0.5000 0.5000 0.5000
I1 0.0000 0.5000 0.5000
I2 0.5000 0.0000 0.5000
```

Summary:
- DOS at the Fermi energy: 3.30 states/eV/cell
- Crystal system: tetragonal
- Space-group type: P4/mmm, No. 123
- M_tot: 0.000 Bohr magnetons per cell


Stability order, top to bottom: *b*, *a*


*a*
Entry from Alexandria via LeMat-Bulk: HgTe2PdI after structural relaxation (GGA-PBE).

```
data_HgTe2PdI
_space_group_name_H-M_alt 'P 1'
_space_group_IT_number 1
_space_group_name_Hall 'P 1'
_cell_length_a 5.6194
_cell_length_b 5.6194
_cell_length_c 5.9489
_cell_angle_alpha 90.00
_cell_angle_beta 90.00
_cell_angle_gamma 90.00
loop_
_atom_site_label
_atom_site_fract_x
_atom_site_fract_y
_atom_site_fract_z
Hg1 0.0000 0.0000 0.0000
Te1 0.0000 0.5000 0.0000
Te2 0.5000 0.0000 0.0000
Pd1 0.5000 0.5000 0.5000
I1 0.0000 0.0000 0.5000
```

Summary:
- DOS at the Fermi energy: 7.02 states/eV/cell
- Crystal system: tetragonal
- Space-group type: P4/mmm, No. 123
- M_tot: 2.083 Bohr magnetons per cell


*b*
Entry from Alexandria via LeMat-Bulk: HgTe2PdI after structural relaxation (GGA-PBE).

```
data_HgTe2PdI
_space_group_name_H-M_alt 'P 1'
_space_group_IT_number 1
_space_group_name_Hall 'P 1'
_cell_length_a 5.3686
_cell_length_b 5.3686
_cell_length_c 5.5253
_cell_angle_alpha 90.00
_cell_angle_beta 90.00
_cell_angle_gamma 90.00
loop_
_atom_site_label
_atom_site_fract_x
_atom_site_fract_y
_atom_site_fract_z
Hg1 0.0000 0.0000 0.0000
Te1 0.0000 0.5000 0.5000
Te2 0.5000 0.0000 0.5000
Pd1 0.5000 0.5000 0.5000
I1 0.5000 0.5000 0.0000
```

Summary:
- DOS at the Fermi energy: 7.14 states/eV/cell
- Crystal system: tetragonal
- Space-group type: P4/mmm, No. 123
- M_tot: 0.000 Bohr magnetons per cell


Stability order, top to bottom: *b*, *a*


*a*
Entry from Alexandria via LeMat-Bulk: PrHgI3 after structural relaxation (GGA-PBE).

```
data_PrHgI3
_space_group_name_H-M_alt 'P 1'
_space_group_IT_number 1
_space_group_name_Hall 'P 1'
_cell_length_a 6.2651
_cell_length_b 6.2651
_cell_length_c 6.2651
_cell_angle_alpha 90.00
_cell_angle_beta 90.00
_cell_angle_gamma 90.00
loop_
_atom_site_label
_atom_site_fract_x
_atom_site_fract_y
_atom_site_fract_z
Pr1 0.0000 0.0000 0.0000
Hg1 0.5000 0.5000 0.5000
I1 0.0000 0.0000 0.5000
I2 0.0000 0.5000 0.0000
I3 0.5000 0.0000 0.0000
```

Summary:
- DOS at the Fermi energy: 0.00 states/eV/cell
- Crystal system: cubic
- Space-group type: Pm-3m, No. 221
- M_tot: 0.000 Bohr magnetons per cell


*b*
Entry from Alexandria via LeMat-Bulk: PrHgI3 after structural relaxation (GGA-PBE).

```
data_PrHgI3
_space_group_name_H-M_alt 'P 1'
_space_group_IT_number 1
_space_group_name_Hall 'P 1'
_cell_length_a 11.2273
_cell_length_b 11.2273
_cell_length_c 7.9686
_cell_angle_alpha 90.13
_cell_angle_beta 90.13
_cell_angle_gamma 77.58
loop_
_atom_site_label
_atom_site_fract_x
_atom_site_fract_y
_atom_site_fract_z
Pr1 0.1698 0.3302 0.0848
Pr2 0.3302 0.1698 0.5848
Pr3 0.6698 0.8302 0.4152
Pr4 0.8302 0.6698 0.9152
Hg1 0.2194 0.7806 0.2500
Hg2 0.2813 0.7187 0.7500
Hg3 0.7187 0.2813 0.2500
Hg4 0.7806 0.2194 0.7500
I1 0.0384 0.4618 0.7603
I2 0.0929 0.1666 0.3714
I3 0.1666 0.0929 0.8714
I4 0.3334 0.4072 0.3730
I5 0.4072 0.3334 0.8730
I6 0.4618 0.0384 0.2603
I7 0.5382 0.9616 0.7397
I8 0.5928 0.6666 0.1270
I9 0.6666 0.5928 0.6270
I10 0.8334 0.9071 0.1286
I11 0.9071 0.8334 0.6286
I12 0.9616 0.5382 0.2397
```

Summary:
- DOS at the Fermi energy: 0.00 states/eV/cell
- Crystal system: monoclinic
- Space-group type: C2/c, No. 15
- M_tot: 0.000 Bohr magnetons per cell


Stability order, top to bottom: *b*, *a*